Compound: HoGa5Tc
Source: Alexandria
Functional: PBE-GGA
Structure: relaxed

## Properties
- Magnetization: 0.000 μB per formula unit
- Formation enthalpy at 0 K: -377 meV per atom

a = 4.3326 Å, b = 4.3326 Å, c = 6.9479 Å
α = 90.00°, β = 90.00°, γ = 90.00°
Closest atoms and distances in Å follow each position.
Fractional positions:
Ho 0.0000 0.0000 0.0000  12 Ga 3.02-3.06
Ga 0.0000 0.5000 0.3035  2 Tc 2.56, 1 Ga 2.73
Ga 0.0000 0.5000 0.6965  2 Tc 2.56, 1 Ga 2.73
Ga 0.5000 0.0000 0.3035  2 Tc 2.56, 1 Ga 2.73
Ga 0.5000 0.0000 0.6965  2 Tc 2.56, 1 Ga 2.73
Ga 0.5000 0.5000 0.0000  8 Ga 3.02, 4 Ho 3.06
Tc 0.0000 0.0000 0.5000  8 Ga 2.56

Compound: CsBe2InF8
Source: Alexandria
Functional: PBE-GGA
Structure: relaxed

## Properties
- Magnetization: 0.180 μB per formula unit
- Formation energy from raw total energies: -2977 meV/atom

a = 5.0452 Å, b = 5.0452 Å, c = 8.7225 Å
α = 95.72°, β = 95.72°, γ = 65.69°
Closest atoms and distances in Å follow each position.
Fractional positions:
Cs 0.0000 0.0000 0.0000  10 F 3.16-3.29
Be 0.3801 0.3801 0.6990  4 F 1.49-1.60
Be 0.6199 0.6199 0.3010  4 F 1.49-1.60
In 0.0000 0.0000 0.5000  6 F 2.09-2.11
F 0.2463 0.2463 0.5557  1 Be 1.58
F 0.2511 0.7214 0.6741  1 Be 1.60
F 0.2786 0.7489 0.3259  1 Be 1.60
F 0.3250 0.3250 0.8555  1 Be 1.49
F 0.6750 0.6750 0.1445  1 Be 1.49
F 0.7214 0.2511 0.6741  1 Be 1.60
F 0.7489 0.2786 0.3259  1 Be 1.60
F 0.7537 0.7537 0.4443  1 Be 1.58

Compound: Cs2GeBiS4
Source: Alexandria
Functional: PBE-GGA
Structure: relaxed

## Properties
- Magnetization: 0.000 μB per formula unit
- Formation energy from raw total energies: -601 meV/atom

a = 14.2299 Å, b = 12.7575 Å, c = 8.0172 Å
α = 83.11°, β = 62.88°, γ = 34.01°
Closest atoms and distances in Å follow each position.
Fractional positions:
Cs 0.0508 0.0508 0.6992  4 S 3.66-3.84
Cs 0.3008 0.3008 0.9492  4 S 3.66-3.84
Cs 0.6992 0.6992 0.0508  4 S 3.66-3.84
Cs 0.9492 0.9492 0.3008  4 S 3.66-3.84
Ge 0.3750 0.3750 0.3750  4 S 2.25
Ge 0.6250 0.6250 0.6250  4 S 2.25
Bi 0.1250 0.1250 0.1250  4 S 2.82
Bi 0.8750 0.8750 0.8750  4 S 2.82
S 0.0404 0.6203 0.5102  1 Ge 2.25
S 0.3291 0.5102 0.6203  1 Ge 2.25
S 0.3797 0.9596 0.6709  1 Ge 2.25
S 0.4898 0.6709 0.9596  1 Ge 2.25
S 0.5102 0.3291 0.0404  1 Ge 2.25
S 0.6203 0.0404 0.3291  1 Ge 2.25
S 0.6709 0.4898 0.3797  1 Ge 2.25
S 0.9596 0.3797 0.4898  1 Ge 2.25

Compound: BaInSi
Source: Alexandria
Functional: PBE-GGA
Structure: relaxed

## Properties
- Magnetization: 0.000 μB per formula unit
- Formation energy from raw total energies: -91 meV/atom

a = 7.3845 Å, b = 7.3845 Å, c = 7.3845 Å
α = 90.00°, β = 90.00°, γ = 90.00°
Closest atoms and distances in Å follow each position.
Fractional positions:
Ba 0.0000 0.0000 0.0000  4 Si 3.20
Ba 0.0000 0.5000 0.5000  4 Si 3.20
Ba 0.5000 0.0000 0.5000  4 Si 3.20
Ba 0.5000 0.5000 0.0000  4 Si 3.20
In 0.0000 0.0000 0.5000  4 Si 3.20
In 0.0000 0.5000 0.0000  4 Si 3.20
In 0.5000 0.0000 0.0000  4 Si 3.20
In 0.5000 0.5000 0.5000  4 Si 3.20
Si 0.2500 0.2500 0.2500  4 Ba 3.20, 4 In 3.20
Si 0.2500 0.7500 0.7500  4 Ba 3.20, 4 In 3.20
Si 0.7500 0.2500 0.7500  4 Ba 3.20, 4 In 3.20
Si 0.7500 0.7500 0.2500  4 Ba 3.20, 4 In 3.20

Compound: K2Al2Cd
Source: Alexandria
Functional: PBE-GGA
Structure: relaxed

## Properties
- Magnetization: 0.000 μB per formula unit
- Energy above the lowest structure with this stoichiometry: 0.000 eV per atom
- Formation enthalpy at 0 K: 192 meV per atom

a = 3.8409 Å, b = 3.8409 Å, c = 23.2526 Å
α = 90.00°, β = 90.00°, γ = 90.00°
Closest atoms and distances in Å follow each position.
Fractional positions:
K 0.0000 0.0000 0.1134  4 Al 3.71, 4 Cd 3.79, 4 K 3.84
K 0.0000 0.0000 0.8866  4 Al 3.71, 4 Cd 3.79, 4 K 3.84
K 0.5000 0.5000 0.3866  4 Al 3.71, 4 Cd 3.79, 4 K 3.84
K 0.5000 0.5000 0.6134  4 Al 3.71, 4 Cd 3.79, 4 K 3.84
Al 0.0000 0.5000 0.2500  4 Al 2.72
Al 0.0000 0.5000 0.7500  4 Al 2.72
Al 0.5000 0.0000 0.2500  4 Al 2.72
Al 0.5000 0.0000 0.7500  4 Al 2.72
Cd 0.0000 0.0000 0.5000  8 K 3.79, 4 Cd 3.84
Cd 0.5000 0.5000 0.0000  8 K 3.79, 4 Cd 3.84

Compound: DyPu2NpSb4
Source: Alexandria
Functional: PBE-GGA
Structure: relaxed

## Properties
- Magnetization: 14.011 μB per formula unit
- Formation energy from raw total energies: -628 meV/atom

a = 7.6228 Å, b = 4.4048 Å, c = 7.6418 Å
α = 90.00°, β = 109.39°, γ = 90.00°
Closest atoms and distances in Å follow each position.
Fractional positions:
Dy 0.0000 0.0000 0.0000  6 Sb 3.11
Pu 0.5000 0.0000 0.5000  6 Sb 3.12
Pu 0.5000 0.5000 0.0000  6 Sb 3.13
Np 0.0000 0.5000 0.5000  6 Sb 3.10-3.11
Sb 0.2478 0.0000 0.7493  1 Dy 3.11, 2 Np 3.11, 3 Pu 3.12-3.13
Sb 0.2483 0.5000 0.2503  1 Np 3.10, 2 Dy 3.11, 3 Pu 3.12-3.13
Sb 0.7522 0.0000 0.2507  1 Dy 3.11, 2 Np 3.11, 3 Pu 3.12-3.13
Sb 0.7517 0.5000 0.7497  1 Np 3.10, 2 Dy 3.11, 3 Pu 3.12-3.13

Compound: Rb2Au2Br5
Source: Alexandria
Functional: PBE-GGA
Structure: relaxed

## Properties
- Magnetization: 0.571 μB per formula unit
- Energy above the lowest structure with this stoichiometry: 0.017 eV per atom
- Formation energy from raw total energies: -820 meV/atom

a = 8.9988 Å, b = 8.9988 Å, c = 8.5665 Å
α = 95.67°, β = 95.67°, γ = 29.96°
Closest atoms and distances in Å follow each position.
Fractional positions:
Rb 0.0772 0.0772 0.2944  8 Br 3.56-3.87
Rb 0.9228 0.9228 0.7056  8 Br 3.56-3.87
Au 0.3522 0.3522 0.1017  2 Br 2.47
Au 0.6478 0.6478 0.8983  2 Br 2.47
Br 0.2872 0.2872 0.8311  1 Au 2.47
Br 0.4085 0.4085 0.3786  1 Au 2.47
Br 0.5000 0.5000 0.0000  2 Au 2.80
Br 0.5915 0.5915 0.6214  1 Au 2.47
Br 0.7128 0.7128 0.1689  1 Au 2.47

Compound: AcLa3PrNd
Source: Alexandria
Functional: PBE-GGA
Structure: relaxed

## Properties
- Magnetization: 0.000 μB per formula unit
- Formation enthalpy at 0 K: 151 meV per atom

a = 11.0694 Å, b = 11.0694 Å, c = 7.1482 Å
α = 91.29°, β = 91.29°, γ = 31.57°
Closest atoms and distances in Å follow each position.
Fractional positions:
Ac 0.1495 0.1495 0.0440  1 Nd 3.28, 3 La 3.47-3.64
Ac 0.8505 0.8505 0.9560  1 Nd 3.28, 3 La 3.47-3.64
La 0.0163 0.0163 0.7550  1 Nd 3.24, 2 Pr 3.39, 1 Ac 3.47, 1 La 3.59
La 0.2801 0.2801 0.7144  1 Nd 3.31, 1 Pr 3.48, 1 La 3.66, 1 Ac 3.69
La 0.3418 0.3418 0.2415  2 Nd 3.54, 2 Ac 3.64, 2 La 3.66-3.96
La 0.6582 0.6582 0.7585  2 Nd 3.54, 2 Ac 3.64, 2 La 3.66-3.96
La 0.7199 0.7199 0.2856  1 Nd 3.31, 1 Pr 3.48, 1 La 3.66, 1 Ac 3.69
La 0.9837 0.9837 0.2450  1 Nd 3.24, 2 Pr 3.39, 1 Ac 3.47, 1 La 3.59
Pr 0.4433 0.4433 0.7232  3 La 3.39-3.48
Pr 0.5567 0.5567 0.2768  3 La 3.39-3.48
Nd 0.1403 0.1403 0.5018  4 La 3.24-3.54, 1 Ac 3.28
Nd 0.8597 0.8597 0.4982  4 La 3.24-3.54, 1 Ac 3.28